First-principles (PBE) data for a geometry-optimized CdTeI2 structure, as listed in Alexandria.

Cell lengths 5.6303, 5.6303, 5.6303 Å; angles 60.00, 60.00, 60.00 degrees
Fractional coordinates of all 4 atoms:
Cd 0.0000 0.0000 0.0000
Te 0.5000 0.5000 0.5000
I 0.2500 0.2500 0.2500
I 0.7500 0.7500 0.7500

E_tot: -1.48 eV per atom
Crystal system: cubic